# Tm3ZnS2 | the Alexandria database | PBE | optimized geometry
# Total DFT energy (no corrections) in eV/cell: -31.18
# Formation energy (no corrections) in eV/atom: -1.3732
# Crystal system: orthorhombic
data_Tm3ZnS2
_chemical_formula_sum 'Tm3 Zn1 S2'
_symmetry_space_group_name_H-M 'P 1'
_symmetry_Int_Tables_number 1
_cell_length_a 3.794
_cell_length_b 5.563
_cell_length_c 6.941
_cell_angle_alpha 113.63
_cell_angle_beta 105.86
_cell_angle_gamma 90.00
loop_
_symmetry_equiv_pos_as_xyz
'x,y,z'
loop_
_atom_site_label
_atom_site_type_symbol
_atom_site_fract_x
_atom_site_fract_y
_atom_site_fract_z
Tm1 Tm 0.326 0.326 0.652
Tm2 Tm 0.000 0.000 0.000
Tm3 Tm 0.674 0.674 0.348
Zn1 Zn 0.000 0.500 0.000
S1 S 0.666 0.166 0.332
S2 S 0.334 0.834 0.668

***

# Tm4ZnS3 | the Alexandria database | PBE | optimized geometry
# Total DFT energy (no corrections) in eV/cell: -43.55
# Formation energy (no corrections) in eV/atom: -1.5013
# Crystal system: orthorhombic
data_Tm4ZnS3
_chemical_formula_sum 'Tm4 Zn1 S3'
_symmetry_space_group_name_H-M 'P 1'
_symmetry_Int_Tables_number 1
_cell_length_a 3.815
_cell_length_b 6.825
_cell_length_c 6.825
_cell_angle_alpha 108.51
_cell_angle_beta 90.00
_cell_angle_gamma 90.00
loop_
_symmetry_equiv_pos_as_xyz
'x,y,z'
loop_
_atom_site_label
_atom_site_type_symbol
_atom_site_fract_x
_atom_site_fract_y
_atom_site_fract_z
Zn1 Zn 0.500 0.000 0.000
Tm1 Tm 0.000 0.253 0.253
Tm2 Tm 0.500 0.750 0.250
Tm3 Tm 0.000 0.747 0.747
Tm4 Tm 0.500 0.250 0.750
S1 S 0.000 0.000 0.500
S2 S 0.500 0.500 0.500
S3 S 0.000 0.500 0.000